Material: KBeP2
Method: DFT, GGA-PBE
State: relaxed Values from VASP.

Calculated values
magnetization: 0.00 Bohr magnetons per cell
DFT formation energy: -0.11 eV/f.u.
E_tot: -15.76 eV per cell

Quantum ESPRESSO input file:
```
&SYSTEM
  ibrav = 0, nat = 4, ntyp = 3
/
ATOMIC_SPECIES
K 39.10 K.upf
Be 9.01 Be.upf
P 30.97 P.upf
ATOMIC_POSITIONS angstrom
K 0.000 0.000 0.000
Be 1.810 2.184 2.511
P 3.640 1.366 3.283
P 3.638 3.002 1.739
CELL_PARAMETERS angstrom
3.658 0.000 0.000
1.808 4.991 0.000
1.812 -0.623 5.021
```